*1*
DFT (PBE with a Hubbard U) results for a relaxed structure of CoAsOF2.

Cell and atoms, written as POSCAR:
```
CoAsOF2
1.0
4.2653 0.0000 0.0000
0.0000 4.2653 0.0000
0.0000 0.0000 3.9858
Co As O F
1 1 1 2
Direct
0.0000 0.0000 0.0000
0.5000 0.5000 0.5000
0.5000 0.5000 0.0000
0.0000 0.5000 0.5000
0.5000 0.0000 0.5000
```

Output
ρ: 4.3 g/cm³
Crystal system: tetragonal

***

*2*
DFT (PBE with a Hubbard U) results for a relaxed structure of CoAsOF2.

Cell and atoms, written as POSCAR:
```
CoAsOF2
1.0
4.0956 0.0000 0.0000
0.0000 4.0956 0.0000
0.0000 0.0000 3.7503
Co As O F
1 1 1 2
Direct
0.0000 0.0000 0.0000
0.5000 0.5000 0.5000
0.0000 0.0000 0.5000
0.0000 0.5000 0.0000
0.5000 0.0000 0.0000
```

Output
ρ: 5.0 g/cm³
Crystal system: tetragonal

***

On energetic grounds, *2* is preferred over the next structure by 100 meV/atom.

***

*1*
DFT (PBE with a Hubbard U) results for a relaxed structure of CoAsSe2F.

Cell and atoms, written as POSCAR:
```
CoAsSe2F
1.0
5.0266 0.0000 0.0000
0.0000 5.0266 0.0000
0.0000 0.0000 4.0011
Co As Se F
1 1 2 1
Direct
0.0000 0.0000 0.0000
0.5000 0.5000 0.0000
0.0000 0.5000 0.5000
0.5000 0.0000 0.5000
0.5000 0.5000 0.5000
```

Output
ρ: 5.1 g/cm³
Crystal system: tetragonal

***

*2*
DFT (PBE with a Hubbard U) results for a relaxed structure of CoAsSe2F.

Cell and atoms, written as POSCAR:
```
CoAsSe2F
1.0
4.6174 0.0000 0.0000
0.0000 4.6174 0.0000
0.0000 0.0000 4.5929
Co As Se F
1 1 2 1
Direct
0.0000 0.0000 0.0000
0.0000 0.0000 0.5000
0.0000 0.5000 0.0000
0.5000 0.0000 0.0000
0.5000 0.5000 0.5000
```

Output
ρ: 5.3 g/cm³
Crystal system: tetragonal

***

On energetic grounds, *2* is preferred over the next structure by 216 meV/atom.

***

*1*
DFT (PBE with a Hubbard U) results for a relaxed structure of CoAs2SeF.

Cell and atoms, written as POSCAR:
```
CoAs2SeF
1.0
4.2521 0.0000 0.0000
0.0000 4.2521 0.0000
0.0000 0.0000 5.0194
Co As Se F
1 2 1 1
Direct
0.0000 0.0000 0.0000
0.0000 0.5000 0.5000
0.5000 0.0000 0.5000
0.5000 0.5000 0.0000
0.5000 0.5000 0.5000
```

Output
ρ: 5.6 g/cm³
Crystal system: tetragonal

***

*2*
DFT (PBE with a Hubbard U) results for a relaxed structure of CoAs2SeF.

Cell and atoms, written as POSCAR:
```
CoAs2SeF
1.0
4.5752 0.0000 0.0000
0.0000 4.5752 0.0000
0.0000 0.0000 4.6114
Co As Se F
1 2 1 1
Direct
0.0000 0.0000 0.0000
0.0000 0.5000 0.0000
0.5000 0.0000 0.0000
0.0000 0.0000 0.5000
0.5000 0.5000 0.5000
```

Output
ρ: 5.3 g/cm³
Crystal system: tetragonal

***

On energetic grounds, *2* is preferred over the next structure by 609 meV/atom.